# 1
## ReAu2Br (GGA-PBE)

Data for a relaxed structure of ReAu2Br.

Summary:
- size of the total moment (μB per formula unit) = 3.5
- E_form (uncorrected) (eV/atom) = 1.01
- space-group type = No. 122
- final energy (eV per atom) = -4.16
- volume (Å³/cell) = 173.2

Cell: 8.022 8.022 6.278 Å, 50.29 50.29 90.00°
Fractional positions:
Au 0.089 0.625 0.250
Au 0.661 0.125 0.250
Au 0.875 0.911 0.750
Au 0.375 0.339 0.750
Re 0.750 0.250 0.500
Re 0.000 0.000 0.000
Br 0.250 0.750 0.500
Br 0.500 0.500 0.000

# 2
## TbInRh (GGA-PBE)

Data for a relaxed structure of TbInRh.

Summary:
- size of the total moment (μB per formula unit) = 0.0
- energy relative to the elements (eV per atom) = -0.611
- space-group type = No. 216
- final energy (eV per atom) = -5.52
- volume (Å³/cell) = 72.3

Cell: 4.676 4.676 4.676 Å, 60.00 60.00 60.00°
Fractional positions:
Tb 0.000 0.000 0.000
In 0.500 0.500 0.500
Rh 0.250 0.250 0.250

# 3
## TbDy2Sb (GGA-PBE)

Data for a relaxed structure of TbDy2Sb.

Summary:
- size of the total moment (μB per formula unit) = 0.0
- E_form (uncorrected) (eV/atom) = -0.48
- space-group type = No. 123
- final energy (eV per atom) = -4.97
- volume (Å³/cell) = 109.4

Cell: 4.780 4.784 4.784 Å, 90.00 90.00 90.00°
Fractional positions:
Dy 0.000 0.500 0.000
Dy 0.000 0.000 0.500
Sb 0.500 0.000 0.000
Tb 0.500 0.500 0.500

# 4
## Dy4Er3Ga4 (GGA-PBE)

Data for a relaxed structure of Dy4Er3Ga4.

Summary:
- size of the total moment (μB per formula unit) = 0.0
- energy relative to the elements (eV per atom) = -0.415
- space-group type = No. 71
- final energy (eV per atom) = -4.43
- volume (Å³/cell) = 281.6

Cell: 3.531 8.986 10.102 Å, 116.41 100.06 90.00°
Fractional positions:
Ga 0.273 0.773 0.545
Ga 0.500 0.222 0.000
Ga 0.500 0.778 0.000
Ga 0.727 0.227 0.455
Er 0.905 0.905 0.809
Er 0.095 0.095 0.191
Er 0.000 0.500 0.000
Dy 0.665 0.850 0.331
Dy 0.335 0.519 0.669
Dy 0.335 0.150 0.669
Dy 0.665 0.481 0.331

# 5
## Sm3Dy2Y (GGA-PBE)

Data for a relaxed structure of Sm3Dy2Y.

Summary:
- size of the total moment (μB per formula unit) = 0.0
- energy relative to the elements (eV per atom) = 0.103
- space-group type = No. 12
- final energy (eV per atom) = -4.87
- volume (Å³/cell) = 402.5

Cell: 3.551 6.816 17.532 Å, 79.76 84.19 74.90°
Fractional positions:
Sm 0.268 0.128 0.336
Sm 0.067 0.030 0.835
Sm 0.732 0.872 0.664
Sm 0.933 0.970 0.165
Sm 0.372 0.266 0.989
Sm 0.628 0.734 0.011
Dy 0.199 0.437 0.165
Dy 0.633 0.235 0.499
Dy 0.801 0.563 0.835
Dy 0.367 0.765 0.501
Y 0.541 0.601 0.317
Y 0.459 0.399 0.683

# 6
## AlCo4P (GGA-PBE)

Data for a relaxed structure of AlCo4P.

Summary:
- size of the total moment (μB per formula unit) = 3.8
- energy relative to the elements (eV per atom) = 0.157
- space-group type = No. 216
- final energy (eV per atom) = -6.11
- volume (Å³/cell) = 71.9

Cell: 4.668 4.668 4.668 Å, 60.00 60.00 60.00°
Fractional positions:
Al 0.000 0.000 0.000
Co 0.375 0.375 0.375
Co 0.875 0.375 0.375
Co 0.375 0.375 0.875
Co 0.375 0.875 0.375
P 0.750 0.750 0.750

# 7
## ZnIn2Sn (GGA-PBE)

Data for a relaxed structure of ZnIn2Sn.

Summary:
- size of the total moment (μB per formula unit) = 0.0
- energy relative to the elements (eV per atom) = 0.091
- space-group type = No. 123
- final energy (eV per atom) = -2.60
- volume (Å³/cell) = 98.5

Cell: 5.085 4.402 4.402 Å, 90.00 90.00 90.00°
Fractional positions:
Zn 0.500 0.500 0.500
Sn 0.500 0.000 0.000
In 0.000 0.000 0.500
In 0.000 0.500 0.000

# 8
## KRh2PbAu (GGA-PBE)

Data for a relaxed structure of KRh2PbAu.

Summary:
- size of the total moment (μB per formula unit) = 0.0
- energy relative to the elements (eV per atom) = 1.538
- space-group type = No. 123
- final energy (eV per atom) = -3.02
- volume (Å³/cell) = 123.8

Cell: 4.802 5.368 4.802 Å, 90.00 90.00 90.00°
Fractional positions:
Rh 0.000 0.000 0.500
Rh 0.500 0.000 0.000
K 0.000 0.000 0.000
Au 0.000 0.500 0.000
Pb 0.500 0.500 0.500

# 9
## AlSnIr2 (GGA-PBE)

Data for a relaxed structure of AlSnIr2.

Summary:
- size of the total moment (μB per formula unit) = 0.0
- energy relative to the elements (eV per atom) = -0.370
- space-group type = No. 123
- final energy (eV per atom) = -6.74
- volume (Å³/cell) = 63.1

Cell: 3.576 4.200 4.200 Å, 90.00 90.00 90.00°
Fractional positions:
Al 0.500 0.000 0.000
Ir 0.000 0.000 0.500
Ir 0.000 0.500 0.000
Sn 0.500 0.500 0.500

# 10
## CaPtSeBr2 (GGA-PBE)

Data for a relaxed structure of CaPtSeBr2.

Summary:
- size of the total moment (μB per formula unit) = 2.1
- E_form (uncorrected) (eV/atom) = 0.11
- space-group type = No. 123
- final energy (eV per atom) = -2.86
- volume (Å³/cell) = 169.6

Cell: 5.411 5.411 5.793 Å, 90.00 90.00 90.00°
Fractional positions:
Se 0.000 0.000 0.500
Pt 0.500 0.500 0.500
Ca 0.000 0.000 0.000
Br 0.500 0.000 0.000
Br 0.000 0.500 0.000

# 11
## IrW (GGA-PBE)

Data for a relaxed structure of IrW.

Summary:
- size of the total moment (μB per formula unit) = 0.0
- energy relative to the elements (eV per atom) = -0.124
- space-group type = No. 63
- final energy (eV per atom) = -11.03
- volume (Å³/cell) = 61.9

Cell: 2.784 5.301 4.350 Å, 90.00 90.00 74.77°
Fractional positions:
W 0.163 0.674 0.750
W 0.837 0.326 0.250
Ir 0.424 0.152 0.750
Ir 0.576 0.848 0.250

# 12
## SiAg3F7 (GGA-PBE)

Data for a relaxed structure of SiAg3F7.

Summary:
- size of the total moment (μB per formula unit) = 0.0
- E_form (uncorrected) (eV/atom) = -1.97
- space-group type = No. 8
- final energy (eV per atom) = -4.43
- volume (Å³/cell) = 161.7

Cell: 5.619 5.619 5.850 Å, 69.34 69.34 83.24°
Fractional positions:
F 0.896 0.896 0.777
F 0.029 0.701 0.156
F 0.701 0.029 0.156
F 0.988 0.315 0.766
F 0.115 0.115 0.153
F 0.527 0.527 0.642
F 0.315 0.988 0.766
Ag 0.264 0.727 0.434
Ag 0.727 0.264 0.434
Ag 0.552 0.552 0.009
Si 0.011 0.011 0.957